1.
Entry from Alexandria: a geometry-optimized LiPmCd2O4 structure (PBE-GGA).

The energy relative to the elements, uncorrected is -1.859 eV per atom. Its theoretical density is 7.01 Mg/m³. The symmetry is Cmcm.

abc: 3.351 5.768 11.286
angles: 90.00 90.00 106.89
Fractional coordinates of all 16 atoms:
Li (0.849, 0.698, 0.750)
Li (0.151, 0.302, 0.250)
Pm (0.114, 0.228, 0.750)
Pm (0.886, 0.772, 0.250)
Cd (0.369, 0.737, 0.551)
Cd (0.631, 0.263, 0.051)
Cd (0.631, 0.263, 0.449)
Cd (0.369, 0.737, 0.949)
O (0.278, 0.556, 0.131)
O (0.722, 0.444, 0.631)
O (0.722, 0.444, 0.869)
O (0.278, 0.556, 0.369)
O (0.000, 0.000, 0.500)
O (0.000, 0.000, 0.000)
O (0.455, 0.910, 0.750)
O (0.545, 0.090, 0.250)

***

2.
Entry from Alexandria: a geometry-optimized LiPrCd2O4 structure (PBE-GGA).

The energy relative to the elements, uncorrected is -1.840 eV per atom. Its theoretical density is 6.83 Mg/m³. The symmetry is Cmcm.

abc: 3.400 5.810 11.246
angles: 90.00 90.00 107.01
Fractional coordinates of all 16 atoms:
Li (0.846, 0.693, 0.750)
Li (0.154, 0.307, 0.250)
Pr (0.112, 0.224, 0.750)
Pr (0.888, 0.776, 0.250)
Cd (0.369, 0.738, 0.551)
Cd (0.631, 0.262, 0.051)
Cd (0.631, 0.262, 0.449)
Cd (0.369, 0.738, 0.949)
O (0.278, 0.556, 0.130)
O (0.722, 0.444, 0.630)
O (0.722, 0.444, 0.870)
O (0.278, 0.556, 0.370)
O (0.000, 0.000, 0.500)
O (0.000, 0.000, 0.000)
O (0.450, 0.900, 0.750)
O (0.550, 0.100, 0.250)

***

3.
Entry from Alexandria: a geometry-optimized Li2CdPtO4 structure (PBE-GGA).

The energy relative to the elements, uncorrected is -1.156 eV per atom. Its theoretical density is 7.22 Mg/m³. The symmetry is P2/m.

abc: 3.126 5.775 5.396
angles: 114.46 90.00 90.00
Fractional coordinates of all 8 atoms:
Li (0.500, 0.000, 0.500)
Li (0.000, 0.500, 0.500)
Cd (0.000, 0.000, 0.000)
Pt (0.500, 0.500, 0.000)
O (0.500, 0.293, 0.235)
O (0.500, 0.707, 0.765)
O (0.000, 0.283, 0.762)
O (0.000, 0.717, 0.238)

***

4.
Entry from Alexandria: a geometry-optimized LiCd2PtO4 structure (PBE-GGA).

The energy relative to the elements, uncorrected is -0.872 eV per atom. Its density of states at the Fermi level is 1.15 states/eV per cell. Its theoretical density is 8.39 Mg/m³. The symmetry is P2/m.

abc: 3.282 5.469 5.690
angles: 107.83 90.00 90.00
Fractional coordinates of all 8 atoms:
Li (0.000, 0.000, 0.000)
Cd (0.500, 0.000, 0.500)
Cd (0.000, 0.500, 0.500)
Pt (0.500, 0.500, 0.000)
O (0.500, 0.260, 0.232)
O (0.500, 0.740, 0.768)
O (0.000, 0.278, 0.804)
O (0.000, 0.722, 0.196)

***

5.
Entry from Alexandria: a geometry-optimized Li2PuCdO4 structure (PBE-GGA).

The energy relative to the elements, uncorrected is -1.954 eV per atom. Its density of states at the Fermi level is 5.90 states/eV per cell. Its theoretical density is 6.90 Mg/m³. The symmetry is I-42m.

abc: 5.405 5.237 5.237
angles: 62.13 58.92 58.92
Each line ends with the local moment (μB).
Fractional coordinates of all 8 atoms:
Li (0.250, 0.250, 0.250)  0.00
Li (0.750, 0.750, 0.750)  0.00
Pu (0.500, 0.500, 0.500)  4.15
Cd (0.000, 0.000, 0.000)  0.00
O (0.402, 0.112, 0.598)  -0.07
O (0.112, 0.888, 0.402)  -0.07
O (0.888, 0.598, 0.112)  -0.07
O (0.598, 0.402, 0.888)  -0.07

***

6.
Entry from Alexandria: a geometry-optimized LiPuCd2O5 structure (PBE-GGA).

The energy relative to the elements, uncorrected is -1.803 eV per atom. Its density of states at the Fermi level is 6.27 states/eV per cell. Its theoretical density is 7.35 Mg/m³. The symmetry is Cmc2_1.

abc: 3.375 6.640 11.579
angles: 90.00 90.00 104.72
Each line ends with the local moment (μB).
Fractional coordinates of all 18 atoms:
Li (0.519, 0.038, 0.957)  -0.01
Li (0.481, 0.962, 0.457)  -0.01
Pu (0.758, 0.515, 0.512)  3.25
Pu (0.242, 0.485, 0.012)  3.25
Cd (0.883, 0.767, 0.757)  0.01
Cd (0.124, 0.249, 0.750)  0.01
Cd (0.117, 0.233, 0.257)  0.01
Cd (0.876, 0.751, 0.250)  0.01
O (0.387, 0.774, 0.036)  -0.13
O (0.747, 0.494, 0.879)  -0.05
O (0.504, 0.009, 0.785)  0.00
O (0.274, 0.549, 0.651)  -0.05
O (0.906, 0.812, 0.496)  -0.11
O (0.613, 0.226, 0.536)  -0.13
O (0.253, 0.506, 0.379)  -0.05
O (0.496, 0.991, 0.285)  0.00
O (0.726, 0.451, 0.151)  -0.05
O (0.094, 0.188, 0.996)  -0.11

***

7.
Entry from Alexandria: a geometry-optimized LiPuCd2O6 structure (PBE-GGA).

The energy relative to the elements, uncorrected is -1.751 eV per atom. Its theoretical density is 7.47 Mg/m³. The symmetry is P2_1/c.

abc: 5.481 5.693 8.145
angles: 90.00 89.84 90.00
Each line ends with the local moment (μB).
Fractional coordinates of all 20 atoms:
Li (0.500, 0.000, 0.500)  0.00
Li (0.000, 0.500, 0.000)  0.00
Pu (0.500, 0.000, 0.000)  1.41
Pu (0.000, 0.500, 0.500)  1.41
Cd (0.013, 0.947, 0.248)  0.00
Cd (0.513, 0.553, 0.748)  0.00
Cd (0.987, 0.053, 0.752)  0.00
Cd (0.487, 0.447, 0.252)  0.00
O (0.324, 0.706, 0.069)  -0.06
O (0.824, 0.794, 0.569)  -0.06
O (0.676, 0.294, 0.931)  -0.06
O (0.176, 0.206, 0.431)  -0.06
O (0.299, 0.687, 0.446)  -0.06
O (0.799, 0.813, 0.946)  -0.06
O (0.701, 0.313, 0.554)  -0.06
O (0.201, 0.187, 0.054)  -0.06
O (0.885, 0.558, 0.263)  -0.06
O (0.385, 0.942, 0.763)  -0.06
O (0.115, 0.442, 0.737)  -0.06
O (0.615, 0.058, 0.237)  -0.06

***

8.
Entry from Alexandria: a geometry-optimized Li4Pu3CdO12 structure (PBE-GGA).

The energy relative to the elements, uncorrected is -2.129 eV per atom. Its density of states at the Fermi level is 11.06 states/eV per cell. Its theoretical density is 6.27 Mg/m³. The symmetry is R32.

abc: 6.959 6.959 6.959
angles: 106.83 106.83 106.83
Each line ends with the local moment (μB).
Fractional coordinates of all 20 atoms:
Li (0.938, 0.062, 0.500)  0.00
Li (0.062, 0.500, 0.938)  0.00
Li (0.500, 0.938, 0.062)  0.00
Li (0.500, 0.500, 0.500)  0.00
Pu (0.557, 0.443, 0.000)  2.51
Pu (0.443, 0.000, 0.557)  2.51
Pu (0.000, 0.557, 0.443)  2.51
Cd (0.000, 0.000, 0.000)  0.01
O (0.500, 0.335, 0.665)  -0.12
O (0.893, 0.500, 0.107)  -0.12
O (0.107, 0.893, 0.500)  -0.12
O (0.500, 0.107, 0.893)  -0.12
O (0.343, 0.963, 0.243)  -0.12
O (0.243, 0.343, 0.963)  -0.12
O (0.963, 0.243, 0.343)  -0.12
O (0.657, 0.757, 0.037)  -0.12
O (0.037, 0.657, 0.757)  -0.12
O (0.757, 0.037, 0.657)  -0.12
O (0.665, 0.500, 0.335)  -0.12
O (0.335, 0.665, 0.500)  -0.12

***

9.
Entry from Alexandria: a geometry-optimized LiPu2CdO8 structure (PBE-GGA).

The energy relative to the elements, uncorrected is -1.773 eV per atom. Its density of states at the Fermi level is 9.77 states/eV per cell. Its theoretical density is 7.97 Mg/m³. The symmetry is P-3.

abc: 5.727 5.727 5.390
angles: 90.00 90.00 120.00
Each line ends with the local moment (μB).
Fractional coordinates of all 12 atoms:
Li (0.000, 0.000, 0.000)  0.00
Pu (0.667, 0.333, 0.072)  2.27
Pu (0.333, 0.667, 0.928)  2.27
Cd (0.000, 0.000, 0.500)  0.02
O (0.942, 0.647, 0.829)  -0.15
O (0.353, 0.295, 0.829)  -0.15
O (0.705, 0.058, 0.829)  -0.15
O (0.058, 0.353, 0.171)  -0.15
O (0.647, 0.705, 0.171)  -0.15
O (0.295, 0.942, 0.171)  -0.15
O (0.667, 0.333, 0.414)  -0.26
O (0.333, 0.667, 0.586)  -0.26

***

10.
Entry from Alexandria: a geometry-optimized Li2PuCd3O6 structure (PBE-GGA).

The energy relative to the elements, uncorrected is -1.707 eV per atom. Its density of states at the Fermi level is 7.65 states/eV per cell. Its theoretical density is 7.57 Mg/m³. The symmetry is C2/m.

abc: 5.725 5.725 5.665
angles: 99.24 99.24 120.37
Each line ends with the local moment (μB).
Fractional coordinates of all 12 atoms:
Li (0.335, 0.665, 0.000)  0.00
Li (0.665, 0.335, 0.000)  0.00
Pu (0.000, 0.000, 0.000)  4.17
Cd (0.174, 0.826, 0.500)  0.00
Cd (0.826, 0.174, 0.500)  0.00
Cd (0.500, 0.500, 0.500)  0.00
O (0.919, 0.594, 0.766)  -0.04
O (0.755, 0.755, 0.236)  -0.04
O (0.081, 0.406, 0.234)  -0.04
O (0.594, 0.919, 0.766)  -0.04
O (0.245, 0.245, 0.764)  -0.04
O (0.406, 0.081, 0.234)  -0.04